1.
A relaxed InSbIr2 crystal. Source: Alexandria via LeMat-Bulk, functional GGA-PBE.

Values from the calculation:
polymorph energy (0 for the lowest one) = 3.6 kJ/mol of atoms

Cell lengths 3.0319, 3.8813, 13.2372 Å; angles 90.00, 90.00, 90.00 degrees
Space group Imm2 (No. 44)
Symmetry-distinct sites (fractional):
In (0.0000, 0.0000, 0.0000)
Sb (0.0000, 0.5000, 0.2555)
Ir (0.0000, 0.0000, 0.5907)
Ir (0.0000, 0.5000, 0.8430)

---

2.
A relaxed InSbIr2 crystal. Source: Alexandria via LeMat-Bulk, functional GGA-PBE.

Values from the calculation:
polymorph energy (0 for the lowest one) = 0.0 kJ/mol of atoms

Cell lengths 9.6789, 3.4401, 4.4711 Å; angles 90.00, 102.37, 90.00 degrees
Space group Cm (No. 8)
Symmetry-distinct sites (fractional):
In (0.0000, 0.0000, 0.0000)
Sb (0.2535, 0.5000, 0.3965)
Ir (0.2665, 0.0000, 0.9082)
Ir (0.4828, 0.0000, 0.4917)

---

3.
A relaxed InSb2Ir crystal. Source: Alexandria via LeMat-Bulk, functional GGA-PBE.

Cell lengths 9.8147, 3.4684, 6.2314 Å; angles 90.00, 110.78, 90.00 degrees
Space group Cm (No. 8)
Symmetry-distinct sites (fractional):
In (0.0000, 0.0000, 0.0000)
Sb (0.1543, 0.0000, 0.6350)
Sb (0.3461, 0.0000, 0.3413)
Ir (0.2222, 0.5000, 0.9898)

---

4.
A relaxed InSbIr2 crystal. Source: Alexandria via LeMat-Bulk, functional GGA-PBE.

Values from the calculation:
polymorph energy (0 for the lowest one) = 9.3 kJ/mol of atoms

Cell lengths 8.5344, 3.2108, 5.4564 Å; angles 90.00, 101.93, 90.00 degrees
Space group C2/m (No. 12)
Symmetry-distinct sites (fractional):
In (0.0000, 0.0000, 0.0000)
Sb (0.0000, 0.5000, 0.5000)
Ir (0.2497, 0.0000, 0.7379)

---

5.
A relaxed InSb2Ir crystal. Source: Alexandria via LeMat-Bulk, functional GGA-PBE.

Cell lengths 5.2099, 5.2099, 3.2409 Å; angles 90.00, 90.00, 90.00 degrees
Space group P4/mmm (No. 123)
Symmetry-distinct sites (fractional):
In (0.0000, 0.0000, 0.0000)
Sb (0.0000, 0.5000, 0.5000)
Ir (0.5000, 0.5000, 0.0000)

---

6.
A relaxed In2SbIr2 crystal. Source: Alexandria via LeMat-Bulk, functional GGA-PBE.

Cell lengths 7.8951, 7.8951, 3.0984 Å; angles 90.00, 90.00, 90.00 degrees
Space group P4/mbm (No. 127)
Symmetry-distinct sites (fractional):
In (0.1371, 0.3629, 0.0000)
Sb (0.0000, 0.0000, 0.5000)
Ir (0.1614, 0.6614, 0.5000)

---

7.
A relaxed InSb2Ir crystal. Source: Alexandria via LeMat-Bulk, functional GGA-PBE.

Cell lengths 3.4378, 4.1462, 13.8922 Å; angles 90.00, 90.00, 90.00 degrees
Space group Imm2 (No. 44)
Symmetry-distinct sites (fractional):
In (0.0000, 0.0000, 0.0000)
Sb (0.0000, 0.0000, 0.3681)
Sb (0.0000, 0.5000, 0.1683)
Ir (0.0000, 0.5000, 0.7218)

---

8.
A relaxed InSbIr2 crystal. Source: Alexandria via LeMat-Bulk, functional GGA-PBE.

Values from the calculation:
polymorph energy (0 for the lowest one) = 10.6 kJ/mol of atoms

Cell lengths 6.5829, 6.5829, 6.5829 Å; angles 90.00, 90.00, 90.00 degrees
Space group Fm-3m (No. 225)
Symmetry-distinct sites (fractional):
In (0.0000, 0.0000, 0.0000)
Sb (0.0000, 0.0000, 0.5000)
Ir (0.2500, 0.2500, 0.2500)

---

no.,N(E_F) (states/eV/atom),ΔE_f (raw) (eV/atom),M_tot (μB per formula unit)
1,0.453,0.1038,0.00
2,0.299,0.0664,0.00
3,0.536,-0.0551,0.00
4,0.696,0.1625,0.00
5,0.640,0.4236,0.00
6,0.341,-0.0197,0.00
7,0.633,0.1035,0.00
8,1.102,0.1765,0.00